1.
First-principles (GGA-PBE) data for MnPbAu2 after structural relaxation, as listed in Alexandria via LeMat-Bulk.

Formation energy   0.6 eV per formula unit
Total magnetic moment   3.91 μB/f.u.
Electronic total energy   -4.6964 eV/atom

Cell and atoms, written as POSCAR:
```
MnPbAu2
1.0
-3.154 0.067 3.646
-3.357 -3.444 0.347
0.289 -3.305 3.499
Au Pb Mn
2 1 1
Direct
0.000 0.000 0.000 Au
0.250 0.250 0.250 Au
0.750 0.750 0.750 Pb
0.500 0.500 0.500 Mn
```

2.
First-principles (GGA-PBE) data for KPmMgI6 after structural relaxation, as listed in Alexandria via LeMat-Bulk.

E_form (uncorrected)   -1.29 eV per atom
Total magnetic moment   0.00 μB/f.u.
Electronic total energy   -3.1553 eV/atom

Cell and atoms, written as POSCAR:
```
KPmMgI6
1.0
-6.005 -4.350 -2.534
7.138 -3.169 0.641
-3.183 -4.189 14.735
I Mg Pm K
12 2 2 2
Direct
0.624 0.985 0.862 I
0.361 0.376 0.862 I
0.376 0.361 0.362 I
0.015 0.639 0.862 I
0.624 0.639 0.638 I
0.015 0.376 0.638 I
0.985 0.624 0.362 I
0.376 0.015 0.138 I
0.985 0.361 0.138 I
0.361 0.985 0.638 I
0.639 0.624 0.138 I
0.639 0.015 0.362 I
0.667 0.333 0.250 Mg
0.333 0.667 0.750 Mg
0.333 0.667 0.250 Pm
0.667 0.333 0.750 Pm
0.000 0.000 0.000 K
0.000 0.000 0.500 K
```

3.
First-principles (GGA-PBE) data for Sr2Fe after structural relaxation, as listed in Alexandria via LeMat-Bulk.

Formation energy   1.8 eV per formula unit
Total magnetic moment   2.30 μB/f.u.
Electronic total energy   -3.3365 eV/atom

Cell and atoms, written as POSCAR:
```
Sr2Fe
1.0
-3.494 -4.901 -4.052
-2.611 -1.590 -6.581
6.448 -3.103 -1.809
Fe Sr
2 4
Direct
0.387 0.387 0.750 Fe
0.613 0.613 0.250 Fe
0.000 0.000 0.500 Sr
0.000 0.000 0.000 Sr
0.285 0.285 0.250 Sr
0.715 0.715 0.750 Sr
```

4.
First-principles (GGA-PBE) data for Nd12YEr6 after structural relaxation, as listed in Alexandria via LeMat-Bulk.

E above lowest polymorph   0 meV/atom
Formation energy   2.5 eV per formula unit
Total magnetic moment   0.00 μB/f.u.
Electronic total energy   -4.6592 eV/atom

Cell and atoms, written as POSCAR:
```
Nd12YEr6
1.0
-7.265 -4.604 1.150
4.607 -7.125 1.818
-0.069 1.914 8.464
Nd Er Y
12 6 1
Direct
0.364 0.018 0.194 Nd
0.464 0.567 0.218 Nd
0.194 0.364 0.018 Nd
0.536 0.433 0.782 Nd
0.018 0.194 0.364 Nd
0.982 0.806 0.636 Nd
0.782 0.536 0.433 Nd
0.218 0.464 0.567 Nd
0.567 0.218 0.464 Nd
0.636 0.982 0.806 Nd
0.433 0.782 0.536 Nd
0.806 0.636 0.982 Nd
0.259 0.100 0.704 Er
0.741 0.900 0.296 Er
0.100 0.704 0.259 Er
0.296 0.741 0.900 Er
0.900 0.296 0.741 Er
0.704 0.259 0.100 Er
0.000 0.000 0.000 Y
```

5.
First-principles (GGA-PBE) data for Pm5Pr3Dy4 after structural relaxation, as listed in Alexandria via LeMat-Bulk.

E above lowest polymorph   233 meV/atom
Formation energy   3.0 eV per formula unit
Total magnetic moment   0.17 μB/f.u.
Electronic total energy   -4.4608 eV/atom

Cell and atoms, written as POSCAR:
```
Pm5Pr3Dy4
1.0
5.861 0.000 0.000
2.930 8.493 -3.551
2.930 -1.610 9.068
Dy Pr Pm
4 3 5
Direct
0.835 0.134 0.196 Dy
0.946 0.255 0.853 Dy
0.054 0.745 0.147 Dy
0.165 0.866 0.804 Dy
0.000 0.500 0.500 Pr
0.472 0.342 0.713 Pr
0.528 0.658 0.287 Pr
0.500 0.500 0.500 Pm
0.725 0.932 0.619 Pm
0.321 0.285 0.073 Pm
0.275 0.068 0.381 Pm
0.679 0.715 0.927 Pm
```

6.
First-principles (GGA-PBE) data for KSb8 after structural relaxation, as listed in Alexandria via LeMat-Bulk.

E_form (uncorrected)   0.19 eV per atom
Total magnetic moment   0.00 μB/f.u.
Electronic total energy   -3.5993 eV/atom

Cell and atoms, written as POSCAR:
```
KSb8
1.0
-5.188 5.188 2.759
5.188 -5.188 2.759
5.188 5.188 -2.759
Sb K
8 1
Direct
0.294 0.294 0.588 Sb
0.706 0.706 0.412 Sb
0.706 0.294 0.000 Sb
0.640 0.000 0.640 Sb
0.000 0.640 0.640 Sb
0.360 0.000 0.360 Sb
0.000 0.360 0.360 Sb
0.294 0.706 0.000 Sb
0.000 0.000 0.000 K
```

7.
First-principles (GGA-PBE) data for NbV2Ru after structural relaxation, as listed in Alexandria via LeMat-Bulk.

Formation energy   -0.9 eV per formula unit
Total magnetic moment   0.00 μB/f.u.
Electronic total energy   -9.6167 eV/atom

Cell and atoms, written as POSCAR:
```
NbV2Ru
1.0
3.068 0.000 0.000
0.000 4.365 0.000
0.000 0.000 4.365
V Nb Ru
2 1 1
Direct
0.000 0.500 0.000 V
0.000 0.000 0.500 V
0.500 0.500 0.500 Nb
0.500 0.000 0.000 Ru
```

8.
First-principles (GGA-PBE) data for Ca2Sb2Br after structural relaxation, as listed in Alexandria via LeMat-Bulk.

E_form (uncorrected)   -0.84 eV per atom
E above lowest polymorph   154 meV/atom
Total magnetic moment   0.00 μB/f.u.
Electronic total energy   -3.6275 eV/atom

Cell and atoms, written as POSCAR:
```
Ca2Sb2Br
1.0
4.450 0.000 0.000
0.000 4.450 0.000
2.225 2.225 8.357
Br Ca Sb
1 2 2
Direct
0.000 0.000 0.000 Br
0.385 0.385 0.230 Ca
0.615 0.615 0.770 Ca
0.750 0.250 0.500 Sb
0.250 0.750 0.500 Sb
```